# 1
A relaxed structure of NaBiBrO2. Source: Alexandria, functional PBE-GGA.

Unit cell a=4.7247 b=6.3048 c=7.4344 alpha=115.09 beta=90.00 gamma=90.00
Closest atoms and distances in Å follow each position.
Element x y z (fractional)
O: 0.0000 0.2797 0.0000  2 Bi 2.25, 2 O 2.36, 2 Na 2.41
O: 0.0000 0.7203 0.0000  2 Bi 2.25, 2 O 2.36, 2 Na 2.41
O: 0.5000 0.2797 0.0000  2 Bi 2.25, 2 O 2.36, 2 Na 2.41
O: 0.5000 0.7203 0.0000  2 Bi 2.25, 2 O 2.36, 2 Na 2.41
Bi: 0.2500 0.5984 0.1967  4 O 2.25
Bi: 0.7500 0.4016 0.8033  4 O 2.25
Br: 0.2500 0.2243 0.4486  2 Na 3.02, 2 Bi 3.36
Br: 0.7500 0.7757 0.5514  2 Na 3.02, 2 Bi 3.36
Na: 0.7500 0.0846 0.1692  4 O 2.41
Na: 0.2500 0.9154 0.8308  4 O 2.41

Output
The magnetization comes out at 0.000 μB per cell. The raw formation energy is -1.063 eV/atom. The value obtained for the total energy is -4.4209 eV per atom. Its space-group type is Cmcm (63). As for the density of states at the Fermi level: 0.711 states/eV/atom.

---

# 2
A relaxed structure of Na2BiOsBr. Source: Alexandria, functional PBE-GGA.

Unit cell a=5.9403 b=4.5712 c=5.9403 alpha=90.00 beta=90.00 gamma=90.00
Closest atoms and distances in Å follow each position.
Element x y z (fractional)
Na: 0.0000 0.0000 0.5000  2 Os 2.97
Na: 0.5000 0.0000 0.0000  2 Os 2.97
Os: 0.0000 0.0000 0.0000  2 Br 2.29
Br: 0.0000 0.5000 0.0000  2 Os 2.29
Bi: 0.5000 0.5000 0.5000  8 Na 3.75

Output
The magnetization comes out at 2.077 μB per cell. The raw formation energy is 0.810 eV/atom. The value obtained for the total energy is -3.0741 eV per atom. Its space-group type is P4/mmm (123). As for the density of states at the Fermi level: 1.122 states/eV/atom.

---

# 3
A relaxed structure of NaBiPbBr6. Source: Alexandria, functional PBE-GGA.

Unit cell a=7.5383 b=7.5383 c=13.3728 alpha=90.00 beta=90.00 gamma=120.00
Closest atoms and distances in Å follow each position.
Element x y z (fractional)
Br: 0.0168 0.3553 0.6247  1 Bi 2.90, 1 Pb 3.06, 1 Na 3.10
Br: 0.3553 0.0168 0.1247  1 Bi 2.90, 1 Pb 3.06, 1 Na 3.10
Br: 0.6615 0.6447 0.1247  1 Bi 2.90, 1 Pb 3.06, 1 Na 3.10
Br: 0.3385 0.3553 0.8753  1 Bi 2.90, 1 Pb 3.06, 1 Na 3.10
Br: 0.3385 0.9832 0.6247  1 Bi 2.90, 1 Pb 3.06, 1 Na 3.10
Br: 0.0168 0.6615 0.8753  1 Bi 2.90, 1 Pb 3.06, 1 Na 3.10
Br: 0.6447 0.9832 0.8753  1 Bi 2.90, 1 Pb 3.06, 1 Na 3.10
Br: 0.6447 0.6615 0.6247  1 Bi 2.90, 1 Pb 3.06, 1 Na 3.10
Br: 0.3553 0.3385 0.3753  1 Bi 2.90, 1 Pb 3.06, 1 Na 3.10
Br: 0.9832 0.6447 0.3753  1 Bi 2.90, 1 Pb 3.06, 1 Na 3.10
Br: 0.9832 0.3385 0.1247  1 Bi 2.90, 1 Pb 3.06, 1 Na 3.10
Br: 0.6615 0.0168 0.3753  1 Bi 2.90, 1 Pb 3.06, 1 Na 3.10
Bi: 0.6667 0.3333 0.2500  6 Br 2.90
Bi: 0.3333 0.6667 0.7500  6 Br 2.90
Pb: 0.3333 0.6667 0.2500  6 Br 3.06
Pb: 0.6667 0.3333 0.7500  6 Br 3.06
Na: 0.0000 0.0000 0.5000  6 Br 3.10
Na: 0.0000 0.0000 0.0000  6 Br 3.10

Output
The magnetization comes out at 0.000 μB per cell. The raw formation energy is -0.971 eV/atom. The value obtained for the total energy is -3.0765 eV per atom. Its space-group type is P-31c (163). As for the density of states at the Fermi level: 0.000 states/eV/atom.

---

# 4
A relaxed structure of NaSiBi2Br. Source: Alexandria, functional PBE-GGA.

Unit cell a=5.4654 b=5.4654 c=5.7609 alpha=90.00 beta=90.00 gamma=90.00
Closest atoms and distances in Å follow each position.
Element x y z (fractional)
Bi: 0.0000 0.5000 0.0000  2 Si 2.73
Bi: 0.5000 0.0000 0.0000  2 Si 2.73
Si: 0.0000 0.0000 0.0000  4 Bi 2.73, 2 Br 2.88
Br: 0.0000 0.0000 0.5000  2 Si 2.88
Na: 0.5000 0.5000 0.5000  4 Br 3.86, 8 Bi 3.97

Output
The magnetization comes out at 0.000 μB per cell. The raw formation energy is 0.186 eV/atom. The value obtained for the total energy is -3.0495 eV per atom. Its space-group type is P4/mmm (123). As for the density of states at the Fermi level: 1.189 states/eV/atom.